(1)
This record from Alexandria via LeMat-Bulk describes crystalline Sr3Li2Sn9 at its relaxed geometry. The functional is PBE-GGA.

* SG: Immm (71)
* magnetization: 0.0 μB/cell
* VASP energy: -3.600 eV per atom

Lattice parameters (Å, degrees): 4.7569 9.5473 9.5472 76.72 75.57 75.57
With the nearest neighbours (Å) after each atom.
Element x y z (fractional)
Sn 0.3594 0.2815 0.9997  4 Sn 3.01-3.34, 1 Li 3.02
Sn 0.1427 0.5614 0.1532  4 Sn 3.01-3.17, 2 Li 3.15
Sn 0.3594 0.9997 0.2815  4 Sn 3.01-3.34, 1 Li 3.02
Sn 0.0000 0.5000 0.5000  4 Li 3.10, 4 Sn 3.16
Sn 0.8573 0.4386 0.8468  4 Sn 3.01-3.17, 2 Li 3.15
Sn 0.8573 0.8468 0.4386  4 Sn 3.01-3.17, 2 Li 3.15
Sn 0.6406 0.0003 0.7185  4 Sn 3.01-3.34, 1 Li 3.02
Sn 0.6406 0.7185 0.0003  4 Sn 3.01-3.34, 1 Li 3.02
Sn 0.1427 0.1532 0.5614  4 Sn 3.01-3.17, 2 Li 3.15
Sr 0.0000 0.0000 0.0000  8 Sn 3.53
Sr 0.2956 0.7044 0.7044  10 Sn 3.50-3.75, 2 Li 3.52
Sr 0.7044 0.2956 0.2956  10 Sn 3.50-3.75, 2 Li 3.52
Li 0.5000 0.6682 0.3318  8 Sn 3.02-3.15
Li 0.5000 0.3318 0.6682  8 Sn 3.02-3.15

***

(2)
This record from Alexandria via LeMat-Bulk describes crystalline Sr2LiSn8 at its relaxed geometry. The functional is PBE-GGA.

* SG: P4/mmm (123)
* magnetization: 0.0 μB/cell
* VASP energy: -3.717 eV per atom

Lattice parameters (Å, degrees): 4.8190 4.8190 13.0936 90.00 90.00 90.00
With the nearest neighbours (Å) after each atom.
Element x y z (fractional)
Sn 0.0000 0.5000 0.1211  2 Li 2.88, 1 Sn 3.17
Sn 0.5000 0.0000 0.1211  2 Li 2.88, 1 Sn 3.17
Sn 0.5000 0.0000 0.5000  8 Sn 3.41-3.43, 4 Sr 3.46
Sn 0.0000 0.5000 0.5000  8 Sn 3.41-3.43, 4 Sr 3.46
Sn 0.5000 0.5000 0.6867  4 Sr 3.41, 8 Sn 3.43-3.48
Sn 0.5000 0.0000 0.8789  2 Li 2.88, 1 Sn 3.17
Sn 0.0000 0.5000 0.8789  2 Li 2.88, 1 Sn 3.17
Sn 0.5000 0.5000 0.3133  4 Sr 3.41, 8 Sn 3.43-3.48
Sr 0.0000 0.0000 0.3100  12 Sn 3.41-3.46
Sr 0.0000 0.0000 0.6900  12 Sn 3.41-3.46
Li 0.0000 0.0000 0.0000  8 Sn 2.88

***

(3)
This record from Alexandria via LeMat-Bulk describes crystalline Sr3Li2Sn3 at its relaxed geometry. The functional is PBE-GGA.

* SG: Cmcm (63)
* magnetization: 0.0 μB/cell
* VASP energy: -3.165 eV per atom

Lattice parameters (Å, degrees): 4.9428 6.3370 16.7331 90.00 90.00 112.95
With the nearest neighbours (Å) after each atom.
Element x y z (fractional)
Sn 0.6771 0.3541 0.7500  2 Li 2.97
Sn 0.3912 0.7824 0.5423  3 Li 2.86-3.07, 1 Sn 2.91
Sn 0.6088 0.2176 0.0423  3 Li 2.86-3.07, 1 Sn 2.91
Sn 0.6088 0.2176 0.4577  3 Li 2.86-3.07, 1 Sn 2.91
Sn 0.3229 0.6459 0.2500  2 Li 2.97
Sn 0.3912 0.7824 0.9577  3 Li 2.86-3.07, 1 Sn 2.91
Sr 0.0962 0.1923 0.6099  4 Li 3.36-3.61, 7 Sn 3.53-3.62
Sr 0.3804 0.7607 0.7500  5 Sn 3.43-3.48, 4 Li 3.79
Sr 0.6196 0.2393 0.2500  5 Sn 3.43-3.48, 4 Li 3.79
Sr 0.9038 0.8077 0.1099  4 Li 3.36-3.61, 7 Sn 3.53-3.62
Sr 0.0962 0.1923 0.8901  4 Li 3.36-3.61, 7 Sn 3.53-3.62
Sr 0.9038 0.8077 0.3901  4 Li 3.36-3.61, 7 Sn 3.53-3.62
Li 0.2103 0.4206 0.4095  4 Sn 2.86-3.07
Li 0.7897 0.5794 0.5905  4 Sn 2.86-3.07
Li 0.7897 0.5794 0.9095  4 Sn 2.86-3.07
Li 0.2103 0.4206 0.0905  4 Sn 2.86-3.07

***

(4)
This record from Alexandria via LeMat-Bulk describes crystalline SrLi12Sn4 at its relaxed geometry. The functional is PBE-GGA.

* SG: Im-3 (204)
* magnetization: 0.0 μB/cell
* VASP energy: -2.433 eV per atom

Lattice parameters (Å, degrees): 8.5068 8.5068 8.5068 109.47 109.47 109.47
With the nearest neighbours (Å) after each atom.
Element x y z (fractional)
Sr 0.0000 0.0000 0.0000  12 Li 3.85, 8 Sn 4.25
Li 0.1938 0.3402 0.5340  2 Sn 2.67
Li 0.4660 0.8062 0.6598  2 Sn 2.67
Li 0.8536 0.1938 0.6598  2 Sn 2.67
Li 0.5340 0.1938 0.3402  2 Sn 2.67
Li 0.6598 0.4660 0.8062  2 Sn 2.67
Li 0.3402 0.5340 0.1938  2 Sn 2.67
Li 0.3402 0.1464 0.8062  2 Sn 2.67
Li 0.8062 0.6598 0.4660  2 Sn 2.67
Li 0.1938 0.6598 0.8536  2 Sn 2.67
Li 0.6598 0.8536 0.1938  2 Sn 2.67
Li 0.8062 0.3402 0.1464  2 Sn 2.67
Li 0.1464 0.8062 0.3402  2 Sn 2.67
Sn 0.0000 0.0000 0.5000  6 Li 2.67
Sn 0.0000 0.5000 0.0000  6 Li 2.67
Sn 0.5000 0.0000 0.0000  6 Li 2.67
Sn 0.5000 0.5000 0.5000  6 Li 2.67

***

(5)
This record from Alexandria via LeMat-Bulk describes crystalline Sr2LiSn2 at its relaxed geometry. The functional is PBE-GGA.

* SG: C2/m (12)
* excess energy over the best structure of this formula in the dataset: 0.0000 eV per atom
* magnetization: 0.0 μB/cell
* VASP energy: -3.251 eV per atom

Lattice parameters (Å, degrees): 4.9453 6.4991 10.8354 83.13 76.81 67.64
With the nearest neighbours (Å) after each atom.
Element x y z (fractional)
Sn 0.1384 0.2920 0.4311  3 Li 2.87-3.08, 1 Sn 2.94
Sn 0.0143 0.8535 0.1179  1 Li 2.98, 1 Sn 3.00
Sn 0.8616 0.7080 0.5689  3 Li 2.87-3.08, 1 Sn 2.94
Sn 0.9857 0.1465 0.8821  1 Li 2.98, 1 Sn 3.00
Sr 0.3137 0.2695 0.1032  6 Sn 3.47-3.52, 2 Li 3.83
Sr 0.6863 0.7305 0.8968  6 Sn 3.47-3.52, 2 Li 3.83
Sr 0.5155 0.3026 0.6664  4 Li 3.42-3.68, 7 Sn 3.47-3.75
Sr 0.4845 0.6974 0.3336  4 Li 3.42-3.68, 7 Sn 3.47-3.75
Li 0.2244 0.9143 0.6369  4 Sn 2.87-3.08
Li 0.7756 0.0857 0.3631  4 Sn 2.87-3.08

***

(6)
This record from Alexandria via LeMat-Bulk describes crystalline Sr2LiSn at its relaxed geometry. The functional is PBE-GGA.

* SG: C2/c (15)
* magnetization: 0.0 μB/cell
* VASP energy: -2.578 eV per atom

Lattice parameters (Å, degrees): 5.3021 11.2012 6.4174 115.78 114.40 90.00
With the nearest neighbours (Å) after each atom.
Element x y z (fractional)
Li 0.6292 0.2500 0.0000  2 Sn 2.65-2.66
Li 0.3708 0.7500 0.0000  2 Sn 2.65-2.66
Sr 0.8479 0.9079 0.6339  1 Li 3.36, 3 Sn 3.42-3.72
Sr 0.7860 0.4079 0.6339  1 Li 3.36, 3 Sn 3.42-3.72
Sr 0.2140 0.5921 0.3661  1 Li 3.36, 3 Sn 3.42-3.72
Sr 0.1521 0.0921 0.3661  1 Li 3.36, 3 Sn 3.42-3.72
Sn 0.1284 0.2500 0.0000  2 Li 2.65-2.66
Sn 0.8716 0.7500 0.0000  2 Li 2.65-2.66

***

(7)
This record from Alexandria via LeMat-Bulk describes crystalline Sr3Li2Sn5 at its relaxed geometry. The functional is PBE-GGA.

* SG: P4/mbm (127)
* magnetization: 0.0 μB/cell
* VASP energy: -3.424 eV per atom

Lattice parameters (Å, degrees): 4.5424 11.0938 11.0938 90.00 90.00 90.00
With the nearest neighbours (Å) after each atom.
Element x y z (fractional)
Sr 0.0000 0.8221 0.6779  3 Li 3.25-3.32, 6 Sn 3.60-3.64
Sr 0.0000 0.3221 0.8221  3 Li 3.25-3.32, 6 Sn 3.60-3.64
Sr 0.0000 0.6779 0.1779  3 Li 3.25-3.32, 6 Sn 3.60-3.64
Sr 0.0000 0.1779 0.3221  3 Li 3.25-3.32, 6 Sn 3.60-3.64
Sr 0.0000 0.5000 0.5000  8 Sn 3.46
Sr 0.0000 0.0000 0.0000  8 Sn 3.46
Sn 0.5000 0.7248 0.4294  2 Li 2.93, 2 Sn 3.15-3.21
Sn 0.5000 0.4294 0.2752  2 Li 2.93, 2 Sn 3.15-3.21
Sn 0.5000 0.2752 0.5706  2 Li 2.93, 2 Sn 3.15-3.21
Sn 0.5000 0.7752 0.9294  2 Li 2.93, 2 Sn 3.15-3.21
Sn 0.5000 0.0000 0.5000  4 Li 2.90, 4 Sn 3.15
Sn 0.5000 0.9294 0.2248  2 Li 2.93, 2 Sn 3.15-3.21
Sn 0.5000 0.5000 0.0000  4 Li 2.90, 4 Sn 3.15
Sn 0.5000 0.0706 0.7752  2 Li 2.93, 2 Sn 3.15-3.21
Sn 0.5000 0.2248 0.0706  2 Li 2.93, 2 Sn 3.15-3.21
Sn 0.5000 0.5706 0.7248  2 Li 2.93, 2 Sn 3.15-3.21
Li 0.0000 0.6151 0.8849  6 Sn 2.90-2.93, 1 Sr 3.25
Li 0.0000 0.3849 0.1151  6 Sn 2.90-2.93, 1 Sr 3.25
Li 0.0000 0.8849 0.3849  6 Sn 2.90-2.93, 1 Sr 3.25
Li 0.0000 0.1151 0.6151  6 Sn 2.90-2.93, 1 Sr 3.25

***

(8)
This record from Alexandria via LeMat-Bulk describes crystalline Sr3Li5Sn6 at its relaxed geometry. The functional is PBE-GGA.

* SG: Pmmn (59)
* magnetization: 0.0 μB/cell
* VASP energy: -3.234 eV per atom

Lattice parameters (Å, degrees): 4.7783 10.6957 14.0405 90.00 90.00 90.00
With the nearest neighbours (Å) after each atom.
Element x y z (fractional)
Sr 0.0000 0.2524 0.6968  7 Sn 3.42-3.60, 7 Li 3.46-3.67
Sr 0.0000 0.2450 0.0000  6 Li 3.49-3.54, 8 Sn 3.59-3.86
Sr 0.0000 0.2524 0.3032  7 Sn 3.42-3.60, 7 Li 3.46-3.67
Sr 0.5000 0.7550 0.5000  6 Li 3.49-3.54, 8 Sn 3.59-3.86
Sr 0.5000 0.7476 0.8032  7 Sn 3.42-3.60, 7 Li 3.46-3.67
Sr 0.5000 0.7476 0.1968  7 Sn 3.42-3.60, 7 Li 3.46-3.67
Li 0.0000 0.8776 0.6556  5 Sn 2.78-2.85
Li 0.5000 0.4818 0.3577  5 Sn 2.81-3.14
Li 0.0000 0.7750 0.0000  6 Sn 3.08-3.33, 2 Li 3.40
Li 0.5000 0.4818 0.6423  5 Sn 2.81-3.14
Li 0.5000 0.1224 0.8444  5 Sn 2.78-2.85
Li 0.5000 0.1224 0.1556  5 Sn 2.78-2.85
Li 0.0000 0.5182 0.8577  5 Sn 2.81-3.14
Li 0.0000 0.8776 0.3444  5 Sn 2.78-2.85
Li 0.5000 0.2250 0.5000  6 Sn 3.08-3.33, 2 Li 3.40
Li 0.0000 0.5182 0.1423  5 Sn 2.81-3.14
Sn 0.0000 0.4424 0.5000  2 Sn 2.92, 4 Li 3.14
Sn 0.5000 0.0233 0.6565  4 Li 2.84-3.08
Sn 0.0000 0.6175 0.3401  4 Li 2.78-2.97, 1 Sn 2.92
Sn 0.5000 0.5576 0.0000  2 Sn 2.92, 4 Li 3.14
Sn 0.5000 0.3825 0.8401  4 Li 2.78-2.97, 1 Sn 2.92
Sn 0.0000 0.9767 0.8435  4 Li 2.84-3.08
Sn 0.0000 0.6175 0.6599  4 Li 2.78-2.97, 1 Sn 2.92
Sn 0.5000 0.3825 0.1599  4 Li 2.78-2.97, 1 Sn 2.92
Sn 0.5000 0.9612 0.0000  4 Li 2.78-3.11
Sn 0.0000 0.0388 0.5000  4 Li 2.78-3.11
Sn 0.5000 0.0233 0.3435  4 Li 2.84-3.08
Sn 0.0000 0.9767 0.1565  4 Li 2.84-3.08